Density functional theory data (GGA-PBE) for a relaxed Ta2ZnAsRh crystal.

a b c (Å): 4.905 4.905 4.514
angles (deg): 90.00 90.00 90.00
Sites, in units of the cell vectors:
Ta  0.000  0.500  0.000
Ta  0.500  0.000  0.000
Zn  0.000  0.000  0.500
As  0.500  0.500  0.500
Rh  0.500  0.500  0.000

## Properties
- total DFT energy (no corrections) (eV/cell) = -31.698
- formation energy from the elements (eV/f.u.) = 5.28
- space-group type = No. 123